No. 1
Compound: Ac2TbCd3In4
Source: the Alexandria database
Functional: GGA-PBE
Structure: relaxed

```
Ac2TbCd3In4
1.0
4.795 0.000 0.000
0.000 4.795 0.000
0.000 0.000 12.709
Ac Tb Cd In
2 1 3 4
Direct
0.000 0.500 0.238
0.500 0.000 0.762
0.000 0.000 0.500
0.000 0.500 0.867
0.500 0.000 0.133
0.500 0.500 0.500
0.000 0.000 0.000
0.000 0.500 0.649
0.500 0.000 0.351
0.500 0.500 0.000
```

Properties
Magnetization (μB per formula unit): 0.00
Fermi-level density of states (states/eV/atom): 0.642
Energy of formation (eV per atom): -0.33
E_tot (eV/f.u.): -29.894
SG: P-4m2

***

No. 2
Compound: La12Nd5Sm2
Source: the Alexandria database
Functional: GGA-PBE
Structure: relaxed

```
La12Nd5Sm2
1.0
9.387 -3.600 0.000
9.387 3.600 0.000
-3.805 0.000 10.197
La Nd Sm
12 5 2
Direct
0.003 0.003 0.171
0.074 0.585 0.965
0.097 0.580 0.627
0.415 0.926 0.035
0.420 0.903 0.373
0.468 0.468 0.247
0.532 0.532 0.753
0.580 0.097 0.627
0.585 0.074 0.965
0.903 0.420 0.373
0.926 0.415 0.035
0.997 0.997 0.829
0.169 0.169 0.711
0.313 0.313 0.314
0.500 0.500 0.000
0.687 0.687 0.686
0.831 0.831 0.289
0.229 0.771 0.500
0.771 0.229 0.500
```

Properties
Offset from the most stable computed form (meV per atom): 64
Magnetization (μB per formula unit): 0.00
Fermi-level density of states (states/eV/atom): 1.736
Energy of formation (eV per atom): 0.14
E_tot (eV/f.u.): -89.735
SG: C2/m

***

No. 3
Compound: LiPrScPt
Source: the Alexandria database
Functional: GGA-PBE
Structure: relaxed

```
LiPrScPt
1.0
0.000 3.504 3.504
3.504 0.000 3.504
3.504 3.504 0.000
Li Pr Sc Pt
1 1 1 1
Direct
0.000 0.000 0.000
0.250 0.250 0.250
0.750 0.750 0.750
0.500 0.500 0.500
```

Properties
Magnetization (μB per formula unit): 0.00
Fermi-level density of states (states/eV/atom): 1.013
Energy of formation (eV per atom): -0.55
E_tot (eV/f.u.): -21.268
SG: F-43m

***

Question: The lowest energy of formation belongs to which entry?
Answer: LiPrScPt

***

Question: Which value of magnetization does entry 3 give?
Answer: 0.00 μB per formula unit

***

Repeat the second record exactly.
Compound: La12Nd5Sm2
Source: the Alexandria database
Functional: GGA-PBE
Structure: relaxed

```
La12Nd5Sm2
1.0
9.387 -3.600 0.000
9.387 3.600 0.000
-3.805 0.000 10.197
La Nd Sm
12 5 2
Direct
0.003 0.003 0.171
0.074 0.585 0.965
0.097 0.580 0.627
0.415 0.926 0.035
0.420 0.903 0.373
0.468 0.468 0.247
0.532 0.532 0.753
0.580 0.097 0.627
0.585 0.074 0.965
0.903 0.420 0.373
0.926 0.415 0.035
0.997 0.997 0.829
0.169 0.169 0.711
0.313 0.313 0.314
0.500 0.500 0.000
0.687 0.687 0.686
0.831 0.831 0.289
0.229 0.771 0.500
0.771 0.229 0.500
```

Properties
Offset from the most stable computed form (meV per atom): 64
Magnetization (μB per formula unit): 0.00
Fermi-level density of states (states/eV/atom): 1.736
Energy of formation (eV per atom): 0.14
E_tot (eV/f.u.): -89.735
SG: C2/m

***

Question: What is the energy of formation in the second record?
Answer: 0.14 eV per atom